DFT (GGA-PBEsol) results for crystalline ReNi2Mo at its relaxed geometry.

Formation energy: 0.20 eV/f.u.
Space-group type: I-4m2, No. 119
Fermi-level density of states: 5.85 states/eV per cell

Unit cell a=4.5256 b=4.5256 c=4.5256 alpha=131.54 beta=131.54 gamma=70.96
Fractional coordinates of all 4 atoms:
Re  0.0000  0.0000  0.0000
Ni  0.2500  0.7500  0.5000
Ni  0.5000  0.5000  0.0000
Mo  0.7500  0.2500  0.5000

DFT (GGA-PBEsol) results for crystalline ZnReNi2Mo at its relaxed geometry.

Formation energy: 8.41 eV/f.u.
Space-group type: P4/mmm, No. 123
Fermi-level density of states: 3.46 states/eV per cell

Unit cell a=4.4081 b=4.4081 c=4.5948 alpha=90.00 beta=90.00 gamma=90.00
Fractional coordinates of all 5 atoms:
Zn  0.0000  0.0000  0.0000
Re  0.5000  0.5000  0.0000
Ni  0.0000  0.5000  0.5000
Ni  0.5000  0.0000  0.5000
Mo  0.5000  0.5000  0.5000

DFT (GGA-PBEsol) results for crystalline NiMoRh2 at its relaxed geometry.

Formation energy: -0.49 eV/f.u.
Space-group type: P4/mmm, No. 123
Fermi-level density of states: 4.53 states/eV per cell

Unit cell a=3.7840 b=3.7840 c=3.6643 alpha=90.00 beta=90.00 gamma=90.00
Fractional coordinates of all 4 atoms:
Ni  0.0000  0.0000  0.0000
Mo  0.5000  0.5000  0.0000
Rh  0.0000  0.5000  0.5000
Rh  0.5000  0.0000  0.5000

DFT (GGA-PBEsol) results for crystalline Ni6MoRh at its relaxed geometry.

Formation energy: 0.06 eV/f.u.
Space-group type: Cmmm, No. 65
Fermi-level density of states: 41.14 states/eV per cell

Unit cell a=6.1737 b=6.1737 c=10.0933 alpha=90.00 beta=90.00 gamma=109.47
Fractional coordinates of all 32 atoms:
Ni  0.0000  0.0000  0.0000
Ni  0.0000  0.0000  0.5000
Ni  0.1225  0.3711  0.3733
Ni  0.1225  0.3711  0.6267
Ni  0.1236  0.3737  0.1231
Ni  0.1236  0.3737  0.8769
Ni  0.2486  0.7514  0.2460
Ni  0.2486  0.7514  0.7540
Ni  0.3711  0.1225  0.3733
Ni  0.3711  0.1225  0.6267
Ni  0.3737  0.1236  0.1231
Ni  0.3737  0.1236  0.8769
Ni  0.5000  0.5000  0.0000
Ni  0.5000  0.5000  0.5000
Ni  0.6263  0.8764  0.1231
Ni  0.6263  0.8764  0.8769
Ni  0.6289  0.8775  0.3733
Ni  0.6289  0.8775  0.6267
Ni  0.7514  0.2486  0.2460
Ni  0.7514  0.2486  0.7540
Ni  0.8764  0.6263  0.1231
Ni  0.8764  0.6263  0.8769
Ni  0.8775  0.6289  0.3733
Ni  0.8775  0.6289  0.6267
Mo  0.0000  0.0000  0.2556
Mo  0.0000  0.0000  0.7444
Mo  0.2474  0.7526  0.0000
Mo  0.7526  0.2474  0.0000
Rh  0.2486  0.7514  0.5000
Rh  0.5000  0.5000  0.2540
Rh  0.5000  0.5000  0.7460
Rh  0.7514  0.2486  0.5000

DFT (GGA-PBEsol) results for crystalline NiMoRh2 at its relaxed geometry.

Formation energy: -0.53 eV/f.u.
Space-group type: Pmmm, No. 47
Fermi-level density of states: 4.31 states/eV per cell

Unit cell a=2.6850 b=3.6783 c=5.3360 alpha=90.00 beta=90.00 gamma=90.00
Fractional coordinates of all 4 atoms:
Ni  0.0000  0.0000  0.0000
Mo  0.0000  0.0000  0.5000
Rh  0.5000  0.5000  0.2411
Rh  0.5000  0.5000  0.7589

DFT (GGA-PBEsol) results for crystalline NiMoRh2 at its relaxed geometry.

Formation energy: -0.70 eV/f.u.
Space-group type: I4/mmm, No. 139
Fermi-level density of states: 4.23 states/eV per cell

Unit cell a=4.5446 b=4.5446 c=4.5446 alpha=130.85 beta=130.85 gamma=72.05
Fractional coordinates of all 4 atoms:
Ni  0.0000  0.0000  0.0000
Mo  0.5000  0.5000  0.0000
Rh  0.2500  0.7500  0.5000
Rh  0.7500  0.2500  0.5000

DFT (GGA-PBEsol) results for crystalline NiMoRh2 at its relaxed geometry.

Formation energy: -0.48 eV/f.u.
Space-group type: I-4m2, No. 119
Fermi-level density of states: 5.52 states/eV per cell

Unit cell a=4.6278 b=4.6278 c=4.6278 alpha=132.72 beta=132.72 gamma=69.10
Fractional coordinates of all 4 atoms:
Ni  0.0000  0.0000  0.0000
Mo  0.7500  0.2500  0.5000
Rh  0.2500  0.7500  0.5000
Rh  0.5000  0.5000  0.0000

DFT (GGA-PBEsol) results for crystalline NiMoRh2 at its relaxed geometry.

Formation energy: 0.07 eV/f.u.
Space-group type: Fm-3m, No. 225
Fermi-level density of states: 2.49 states/eV per cell

Unit cell a=4.2237 b=4.2237 c=4.2237 alpha=60.00 beta=60.00 gamma=60.00
Fractional coordinates of all 4 atoms:
Ni  0.0000  0.0000  0.0000
Mo  0.5000  0.5000  0.5000
Rh  0.2500  0.2500  0.2500
Rh  0.7500  0.7500  0.7500

> The highest formation energy belongs to which entry?

ZnReNi2Mo

Please write out number 7 again, unchanged.
DFT (GGA-PBEsol) results for crystalline NiMoRh2 at its relaxed geometry.

Formation energy: -0.48 eV/f.u.
Space-group type: I-4m2, No. 119
Fermi-level density of states: 5.52 states/eV per cell

Unit cell a=4.6278 b=4.6278 c=4.6278 alpha=132.72 beta=132.72 gamma=69.10
Fractional coordinates of all 4 atoms:
Ni  0.0000  0.0000  0.0000
Mo  0.7500  0.2500  0.5000
Rh  0.2500  0.7500  0.5000
Rh  0.5000  0.5000  0.0000

> Which value of formation energy does entry 3 give?

-0.49 eV/f.u.